No. 1
This record from the Alexandria database describes crystalline NaAcY2 at its relaxed geometry. The functional is GGA-PBE.

Properties
energy of formation from the pure elements	0.781	eV/f.u.
M_tot	0.18	μB per cell
space-group type	No. 123
raw total energy	-0.1615	Ha/atom

abc: 3.728 3.728 10.427
angles: 90.00 90.00 90.00
Positions (direct):
Y (0.000, 0.000, 0.746)
Y (0.000, 0.000, 0.254)
Na (0.500, 0.500, 0.000)
Ac (0.500, 0.500, 0.500)

No. 2
This record from the Alexandria database describes crystalline Tc2Ni2W at its relaxed geometry. The functional is GGA-PBE.

Properties
energy of formation from the pure elements	0.905	eV/f.u.
M_tot	0.00	μB per cell
space-group type	No. 127
raw total energy	-0.3259	Ha/atom

abc: 7.045 7.045 2.719
angles: 90.00 90.00 90.00
Positions (direct):
Ni (0.381, 0.881, 0.000)
Ni (0.881, 0.619, 0.000)
Ni (0.619, 0.119, 0.000)
Ni (0.119, 0.381, 0.000)
Tc (0.176, 0.676, 0.500)
Tc (0.676, 0.824, 0.500)
Tc (0.824, 0.324, 0.500)
Tc (0.324, 0.176, 0.500)
W (0.000, 0.000, 0.000)
W (0.500, 0.500, 0.000)

No. 3
This record from the Alexandria database describes crystalline PaTiAgO6 at its relaxed geometry. The functional is GGA-PBE.

Properties
uncorrected formation energy	-2.26	eV/atom
M_tot	2.02	μB per cell
space-group type	No. 149
raw total energy	-0.2873	Ha/atom

abc: 4.874 5.271 5.271
angles: 120.00 90.00 90.00
Site moments in Bohr magnetons follow the coordinates.
Positions (direct):
Pa (0.000, 0.333, 0.667)  0.10
Ti (0.500, 0.000, 0.000)  -0.03
Ag (0.500, 0.667, 0.333)  0.66
O (0.735, 0.686, 0.699)  0.19
O (0.735, 0.301, 0.987)  0.19
O (0.735, 0.013, 0.314)  0.19
O (0.265, 0.301, 0.314)  0.19
O (0.265, 0.686, 0.987)  0.19
O (0.265, 0.013, 0.699)  0.19